1.
Here is a geometry-optimized ZrTiH4 structure from Alexandria via LeMat-Bulk. Energies are from PBE.

The structure belongs to space group C2/c (No. 15); the cell edges are 6.781, 8.244 and 4.963 Å and the angles 90.00°, 129.10° and 90.00°. The asymmetric unit holds Zr at (0.000, 0.134, 0.250), Ti at (0.000, 0.451, 0.750), H at (0.125, 0.338, 0.537) and H at (0.222, 0.038, 0.740).

The value obtained for the magnetization is 0.00 Bohr magnetons per cell. For the energy above the most stable polymorph in this dataset, the calculation gives 243 meV per atom.

***

2.
Here is a geometry-optimized BeCo2Cu structure from Alexandria via LeMat-Bulk. Energies are from PBE.

The structure belongs to space group I-42d (No. 122); the cell edges are 3.298, 3.298 and 16.794 Å and the angles 90.00°, 90.00° and 90.00°. The asymmetric unit holds Be at (0.000, 0.000, 0.000), Co at (0.232, 0.250, 0.125) and Cu at (0.000, 0.000, 0.500).

The value obtained for the magnetization is 12.74 Bohr magnetons per cell. The calculation puts the formation energy at 379 meV per atom.

***

3.
Here is a geometry-optimized IrSe2 structure from Alexandria via LeMat-Bulk. Energies are from PBE.

The structure belongs to space group P6/mmm (No. 191); the cell edges are 4.6230, 4.6230 and 2.8830 Å and the angles 90.00°, 90.00° and 120.00°. The asymmetric unit holds Ir at (0.0000, 0.0000, 0.0000) and Se at (0.3333, 0.6667, 0.5000).

The value obtained for the magnetization is 0.00 Bohr magnetons per cell. The calculation puts the formation energy without anion corrections at 0.99 eV/atom.